Computed, not measured: a relaxed structure of Tl3SbS6 at the PBE-GGA level of DFT.

Summary:
- Formation energy (no corrections): 0.00 eV per atom

a = 7.0168 Å, b = 6.7901 Å, c = 12.6803 Å
α = 90.00°, β = 123.47°, γ = 90.00°
Fractional coordinates of all 20 atoms:
Tl: 0.0000 0.0000 0.0000
Tl: 0.0000 0.5000 0.5000
Tl: 0.2437 0.0272 0.7377
Tl: 0.2437 0.4728 0.2377
Tl: 0.7563 0.5272 0.7623
Tl: 0.7563 0.9728 0.2623
Sb: 0.5000 0.0000 0.5000
Sb: 0.5000 0.5000 0.0000
S: 0.1112 0.1667 0.4447
S: 0.1112 0.3333 0.9447
S: 0.2379 0.6800 0.4082
S: 0.2379 0.8200 0.9082
S: 0.3815 0.1061 0.2583
S: 0.3815 0.3939 0.7583
S: 0.6185 0.6061 0.2417
S: 0.6185 0.8939 0.7417
S: 0.7621 0.1800 0.0918
S: 0.7621 0.3200 0.5918
S: 0.8888 0.6667 0.0553
S: 0.8888 0.8333 0.5553



Computed, not measured: a relaxed structure of Dy4Ni2HgRu at the PBE-GGA level of DFT.

Summary:
- Formation energy: -8.955 kcal/mol of atoms

a = 8.5912 Å, b = 8.5912 Å, c = 8.5912 Å
α = 33.25°, β = 33.25°, γ = 33.25°
Fractional coordinates of all 8 atoms:
Dy: 0.1168 0.1168 0.1168
Dy: 0.3697 0.3697 0.3697
Dy: 0.6303 0.6303 0.6303
Dy: 0.8832 0.8832 0.8832
Ni: 0.2529 0.2529 0.2529
Ni: 0.7471 0.7471 0.7471
Hg: 0.5000 0.5000 0.5000
Ru: 0.0000 0.0000 0.0000



Computed, not measured: a relaxed structure of AlZn8Tc2 at the PBE-GGA level of DFT.

Summary:
- Formation energy: 2.318 kcal/mol of atoms

a = 7.4213 Å, b = 7.4213 Å, c = 5.2052 Å
α = 92.91°, β = 92.91°, γ = 37.77°
Fractional coordinates of all 11 atoms:
Al: 0.0000 0.0000 0.0000
Zn: 0.1535 0.6551 0.3555
Zn: 0.2254 0.2254 0.0929
Zn: 0.3449 0.8465 0.6445
Zn: 0.4270 0.4270 0.8420
Zn: 0.5730 0.5730 0.1580
Zn: 0.6551 0.1535 0.3555
Zn: 0.7746 0.7746 0.9071
Zn: 0.8465 0.3449 0.6445
Tc: 0.2647 0.2647 0.5926
Tc: 0.7353 0.7353 0.4074



Computed, not measured: a relaxed structure of AcTb6Y at the PBE-GGA level of DFT.

Summary:
- Excess energy over the best structure of this formula in the dataset: 356 meV/atom
- Formation energy: 9.166 kcal/mol of atoms

a = 5.9839 Å, b = 5.9839 Å, c = 8.9363 Å
α = 100.51°, β = 100.51°, γ = 72.02°
Fractional coordinates of all 8 atoms:
Ac: 0.0000 0.0000 0.0000
Tb: 0.0405 0.5148 0.6995
Tb: 0.3761 0.3761 0.0782
Tb: 0.4852 0.9595 0.3005
Tb: 0.5148 0.0405 0.6995
Tb: 0.6239 0.6239 0.9218
Tb: 0.9595 0.4852 0.3005
Y: 0.5000 0.5000 0.5000



Number 1: uncorrected energy -3.5955 eV/atom, calculated density 6.1 g/cm³. Number 2: uncorrected energy -5.3319 eV/atom, calculated density 10.5 g/cm³. Number 3: uncorrected energy -3.0509 eV/atom, calculated density 7.1 g/cm³. Number 4: uncorrected energy -4.3968 eV/atom, calculated density 7.1 g/cm³.